Model i:
Density functional theory data (PBE-GGA) for a relaxed Dy6Tl5Hg crystal.

Lattice parameters (Å, degrees): 6.444 9.814 7.490 49.07 81.45 76.89
Element x y z (fractional)
Tl1 0.500 0.500 0.000
Tl2 0.000 0.663 0.675
Dy1 0.245 0.589 0.329
Dy2 0.755 0.411 0.671
Dy3 0.749 0.756 0.000
Dy4 0.245 0.918 0.671
Dy5 0.251 0.244 0.000
Tl3 0.500 0.828 0.345
Tl4 0.000 0.337 0.325
Hg1 0.000 0.000 0.000
Dy6 0.755 0.082 0.329
Tl5 0.500 0.172 0.655

Values from the calculation:
Space group = No. 12
Magnetization = 0.00 Bohr magnetons per cell

***

Model ii:
Density functional theory data (PBE-GGA) for a relaxed Dy6Tl5Hg crystal.

Lattice parameters (Å, degrees): 5.372 7.488 8.510 90.00 71.42 90.00
Element x y z (fractional)
Tl1 0.668 0.500 0.665
Dy1 0.835 0.248 0.330
Dy2 0.165 0.248 0.670
Dy3 0.500 0.753 0.000
Tl2 0.332 0.500 0.335
Dy4 0.835 0.752 0.330
Tl3 0.000 0.500 0.000
Hg1 0.000 0.000 0.000
Dy5 0.500 0.247 0.000
Tl4 0.665 0.000 0.670
Dy6 0.165 0.752 0.670
Tl5 0.335 0.000 0.330

Values from the calculation:
Space group = No. 10
Magnetization = 0.00 Bohr magnetons per cell

***

The least stable of them is model i.

***

Model i:
Density functional theory data (PBE-GGA) for a relaxed DyTlHg6 crystal.

Lattice parameters (Å, degrees): 6.319 6.319 10.716 72.85 72.85 60.00
Element x y z (fractional)
Hg1 0.736 0.250 0.765
Hg2 0.250 0.250 0.765
Dy1 0.000 0.000 0.000
Tl1 0.500 0.500 0.500
Hg3 0.250 0.736 0.765
Hg4 0.750 0.750 0.235
Hg5 0.750 0.264 0.235
Hg6 0.264 0.750 0.235

Values from the calculation:
Space group = No. 166
Magnetization = 0.00 Bohr magnetons per cell

***

Model ii:
Density functional theory data (PBE-GGA) for a relaxed DyTlHg6 crystal.

Lattice parameters (Å, degrees): 4.689 4.689 9.304 90.00 90.00 90.00
Element x y z (fractional)
Hg1 0.000 0.500 0.741
Hg2 0.000 0.500 0.259
Hg3 0.500 0.500 0.000
Hg4 0.500 0.500 0.500
Dy1 0.000 0.000 0.500
Tl1 0.000 0.000 0.000
Hg5 0.500 0.000 0.259
Hg6 0.500 0.000 0.741

Values from the calculation:
Space group = No. 123
Magnetization = 0.00 Bohr magnetons per cell

***

The least stable of them is model i.

***

Model i:
Density functional theory data (PBE-GGA) for a relaxed DyTmTlHg crystal.

Lattice parameters (Å, degrees): 5.288 5.288 5.288 60.00 60.00 60.00
Element x y z (fractional)
Dy1 0.750 0.750 0.750
Tl1 0.000 0.000 0.000
Tm1 0.250 0.250 0.250
Hg1 0.500 0.500 0.500

Values from the calculation:
Space group = No. 216
Magnetization = 0.36 Bohr magnetons per cell

***

Model ii:
Density functional theory data (PBE-GGA) for a relaxed DyTmTlHg crystal.

Lattice parameters (Å, degrees): 3.742 3.742 7.466 90.00 90.00 90.00
Element x y z (fractional)
Hg1 0.000 0.000 0.363
Tl1 0.000 0.000 0.853
Dy1 0.500 0.500 0.115
Tm1 0.500 0.500 0.597

Values from the calculation:
Space group = No. 99
Magnetization = 0.00 Bohr magnetons per cell

***

The least stable of them is model i.

***

Model i:
Density functional theory data (PBE-GGA) for a relaxed DyTmHg2 crystal.

Lattice parameters (Å, degrees): 3.699 3.699 9.454 78.59 78.59 59.83
Element x y z (fractional)
Hg1 0.252 0.252 0.246
Hg2 0.082 0.082 0.754
Dy1 0.500 0.500 0.500
Tm1 0.666 0.666 0.001

Values from the calculation:
Space group = No. 8
Magnetization = 0.00 Bohr magnetons per cell

***

Model ii:
Density functional theory data (PBE-GGA) for a relaxed DyTmHg2 crystal.

Lattice parameters (Å, degrees): 5.231 5.231 5.231 60.00 60.00 60.00
Element x y z (fractional)
Tm1 0.000 0.000 0.000
Dy1 0.500 0.500 0.500
Hg1 0.750 0.750 0.750
Hg2 0.250 0.250 0.250

Values from the calculation:
Space group = No. 225
Magnetization = 0.00 Bohr magnetons per cell

***

The least stable of them is model i.

***

Model i:
Density functional theory data (PBE-GGA) for a relaxed DyTmHg2 crystal.

Lattice parameters (Å, degrees): 3.715 3.715 9.415 78.62 78.62 60.00
Element x y z (fractional)
Hg1 0.251 0.251 0.247
Hg2 0.749 0.749 0.753
Dy1 0.500 0.500 0.500
Tm1 0.000 0.000 0.000

Values from the calculation:
Space group = No. 166
Magnetization = 0.00 Bohr magnetons per cell

***

Model ii:
Density functional theory data (PBE-GGA) for a relaxed DyTmHg2 crystal.

Lattice parameters (Å, degrees): 3.686 3.686 7.446 90.00 90.00 90.00
Element x y z (fractional)
Hg1 0.000 0.000 0.242
Dy1 0.500 0.500 0.500
Tm1 0.500 0.500 0.000
Hg2 0.000 0.000 0.758

Values from the calculation:
Space group = No. 123
Magnetization = 0.08 Bohr magnetons per cell

***

The least stable of them is model i.

***

Model i:
Density functional theory data (PBE-GGA) for a relaxed Dy2TmHg4 crystal.

Lattice parameters (Å, degrees): 5.065 5.065 9.143 73.92 73.92 60.00
Element x y z (fractional)
Hg1 0.626 0.626 0.121
Dy1 0.755 0.755 0.735
Tm1 0.000 0.000 0.000
Hg2 0.127 0.127 0.620
Hg3 0.374 0.374 0.879
Hg4 0.873 0.873 0.380
Dy2 0.245 0.245 0.265

Values from the calculation:
Space group = No. 166
Magnetization = 0.00 Bohr magnetons per cell

***

Model ii:
Density functional theory data (PBE-GGA) for a relaxed Dy2TmHg4 crystal.

Lattice parameters (Å, degrees): 5.564 5.564 8.587 108.90 108.90 90.00
Element x y z (fractional)
Hg1 0.500 0.000 0.000
Tm1 0.000 0.000 0.000
Hg2 0.000 0.500 0.000
Hg3 0.803 0.803 0.606
Hg4 0.197 0.197 0.394
Dy1 0.396 0.396 0.793
Dy2 0.604 0.604 0.207

Values from the calculation:
Space group = No. 139
Magnetization = 0.00 Bohr magnetons per cell

***

The least stable of them is model ii.

***

Model i:
Density functional theory data (PBE-GGA) for a relaxed Dy2TmHg crystal.

Lattice parameters (Å, degrees): 3.587 3.587 10.729 80.38 80.38 60.00
Element x y z (fractional)
Dy1 0.744 0.744 0.769
Tm1 0.500 0.500 0.500
Hg1 0.000 0.000 0.000
Dy2 0.256 0.256 0.231

Values from the calculation:
Space group = No. 166
Magnetization = 0.00 Bohr magnetons per cell

***

Model ii:
Density functional theory data (PBE-GGA) for a relaxed Dy2TmHg crystal.

Lattice parameters (Å, degrees): 3.625 6.613 9.919 90.00 90.00 105.91
Element x y z (fractional)
Dy1 0.629 0.259 0.456
Dy2 0.371 0.741 0.544
Hg1 0.751 0.502 0.750
Dy3 0.371 0.741 0.956
Hg2 0.249 0.498 0.250
Dy4 0.629 0.259 0.044
Tm1 0.953 0.906 0.250
Tm2 0.047 0.094 0.750

Values from the calculation:
Space group = No. 63
Magnetization = 0.00 Bohr magnetons per cell

***

Model iii:
Density functional theory data (PBE-GGA) for a relaxed Dy2TmHg crystal.

Lattice parameters (Å, degrees): 3.860 5.361 5.361 90.00 90.00 90.00
Element x y z (fractional)
Tm1 0.500 0.500 0.500
Dy1 0.000 0.000 0.500
Hg1 0.500 0.000 0.000
Dy2 0.000 0.500 0.000

Values from the calculation:
Space group = No. 123
Magnetization = 0.00 Bohr magnetons per cell

***

Model iv:
Density functional theory data (PBE-GGA) for a relaxed Dy2TmHg crystal.

Lattice parameters (Å, degrees): 3.625 3.625 10.610 80.17 80.17 60.04
Element x y z (fractional)
Dy1 0.077 0.077 0.769
Hg1 0.667 0.667 0.000
Tm1 0.500 0.500 0.500
Dy2 0.256 0.256 0.230

Values from the calculation:
Space group = No. 160
Magnetization = 0.46 Bohr magnetons per cell

***

The least stable of them is model iii.

***

Model i:
Density functional theory data (PBE-GGA) for a relaxed Dy3TmHg2 crystal.

Lattice parameters (Å, degrees): 5.116 6.984 9.213 90.00 90.00 90.00
Element x y z (fractional)
Hg1 0.000 0.265 0.650
Hg2 0.000 0.765 0.350
Dy1 0.000 0.827 0.673
Dy2 0.000 0.985 0.053
Dy3 0.500 0.673 0.176
Hg3 0.500 0.235 0.151
Tm1 0.500 0.515 0.553
Tm2 0.500 0.015 0.447
Dy4 0.000 0.485 0.947
Dy5 0.500 0.173 0.824
Dy6 0.000 0.327 0.327
Hg4 0.500 0.735 0.849

Values from the calculation:
Space group = No. 26
Magnetization = 0.00 Bohr magnetons per cell

***

Model ii:
Density functional theory data (PBE-GGA) for a relaxed Dy3TmHg2 crystal.

Lattice parameters (Å, degrees): 3.653 3.653 12.457 90.00 90.00 90.00
Element x y z (fractional)
Dy1 0.000 0.000 0.693
Dy2 0.000 0.000 0.307
Hg1 0.500 0.500 0.154
Tm1 0.500 0.500 0.500
Hg2 0.500 0.500 0.846
Dy3 0.000 0.000 0.000

Values from the calculation:
Space group = No. 123
Magnetization = 0.00 Bohr magnetons per cell

***

The least stable of them is model ii.

***

Model i:
Density functional theory data (PBE-GGA) for a relaxed Dy3TmHg4 crystal.

Lattice parameters (Å, degrees): 5.309 5.972 7.536 106.52 110.63 90.00
Element x y z (fractional)
Dy1 0.167 0.080 0.333
Hg1 0.739 0.329 0.479
Tm1 0.500 0.000 0.000
Dy2 0.833 0.920 0.667
Hg2 0.261 0.671 0.521
Hg3 0.388 0.349 0.777
Dy3 0.000 0.500 0.000
Hg4 0.612 0.651 0.223

Values from the calculation:
Space group = No. 12
Magnetization = 0.00 Bohr magnetons per cell

***

Model ii:
Density functional theory data (PBE-GGA) for a relaxed Dy3TmHg4 crystal.

Lattice parameters (Å, degrees): 3.704 3.704 14.894 90.00 90.00 90.00
Element x y z (fractional)
Hg1 0.000 0.000 0.121
Hg2 0.000 0.000 0.879
Dy1 0.500 0.500 0.248
Hg3 0.000 0.000 0.625
Dy2 0.500 0.500 0.500
Hg4 0.000 0.000 0.375
Tm1 0.500 0.500 0.000
Dy3 0.500 0.500 0.752

Values from the calculation:
Space group = No. 123
Magnetization = 0.02 Bohr magnetons per cell

***

The least stable of them is model i.

***

Model i:
Density functional theory data (PBE-GGA) for a relaxed Dy3Tm2Hg2 crystal.

Lattice parameters (Å, degrees): 3.540 3.518 16.130 90.00 83.70 90.00
Element x y z (fractional)
Dy1 0.000 0.000 0.000
Hg1 0.563 0.500 0.873
Hg2 0.437 0.500 0.127
Dy2 0.872 0.000 0.256
Tm1 0.296 0.500 0.409
Dy3 0.128 0.000 0.744
Tm2 0.704 0.500 0.591

Values from the calculation:
Space group = No. 65
Magnetization = 0.00 Bohr magnetons per cell

***

Model ii:
Density functional theory data (PBE-GGA) for a relaxed Dy3Tm2Hg2 crystal.

Lattice parameters (Å, degrees): 5.310 5.312 8.439 108.30 90.04 119.97
Element x y z (fractional)
Tm1 0.925 0.851 0.277
Dy1 0.342 0.684 0.526
Dy2 0.500 0.000 0.000
Tm2 0.075 0.149 0.723
Hg1 0.212 0.425 0.138
Hg2 0.788 0.575 0.862
Dy3 0.658 0.316 0.474

Values from the calculation:
Space group = No. 12
Magnetization = 0.00 Bohr magnetons per cell

***

The least stable of them is model i.

***

Model i:
Density functional theory data (PBE-GGA) for a relaxed DyTm2Hg crystal.

Lattice parameters (Å, degrees): 3.563 3.563 10.649 80.37 80.37 60.00
Element x y z (fractional)
Hg1 0.000 0.000 0.000
Tm1 0.743 0.743 0.772
Tm2 0.257 0.257 0.228
Dy1 0.500 0.500 0.500

Values from the calculation:
Space group = No. 166
Magnetization = 0.00 Bohr magnetons per cell

***

Model ii:
Density functional theory data (PBE-GGA) for a relaxed DyTm2Hg crystal.

Lattice parameters (Å, degrees): 4.743 4.773 4.773 90.00 90.00 90.00
Element x y z (fractional)
Dy1 0.500 0.000 0.000
Tm1 0.000 0.000 0.500
Tm2 0.000 0.500 0.000
Hg1 0.500 0.500 0.500

Values from the calculation:
Space group = No. 123
Magnetization = 0.11 Bohr magnetons per cell

***

Model iii:
Density functional theory data (PBE-GGA) for a relaxed DyTm2Hg crystal.

Lattice parameters (Å, degrees): 3.555 3.555 8.860 90.00 90.00 90.00
Element x y z (fractional)
Tm1 0.000 0.000 0.777
Dy1 0.500 0.500 0.500
Hg1 0.500 0.500 0.000
Tm2 0.000 0.000 0.223

Values from the calculation:
Space group = No. 123
Magnetization = 0.00 Bohr magnetons per cell

***

The least stable of them is model ii.

***

Model i:
Density functional theory data (PBE-GGA) for a relaxed DyTm2Hg4 crystal.

Lattice parameters (Å, degrees): 5.599 5.599 8.572 109.06 109.06 90.00
Element x y z (fractional)
Dy1 0.000 0.000 0.000
Hg1 0.201 0.201 0.402
Tm1 0.399 0.399 0.798
Tm2 0.601 0.601 0.202
Hg2 0.500 0.000 0.000
Hg3 0.799 0.799 0.598
Hg4 0.000 0.500 0.000

Values from the calculation:
Space group = No. 139
Magnetization = 0.00 Bohr magnetons per cell

***

Model ii:
Density functional theory data (PBE-GGA) for a relaxed DyTm2Hg4 crystal.

Lattice parameters (Å, degrees): 6.293 6.293 6.293 109.96 109.23 109.23
Element x y z (fractional)
Tm1 0.500 0.000 0.500
Tm2 0.500 0.500 0.000
Dy1 0.000 0.000 0.000
Hg1 0.000 0.000 0.500
Hg2 0.500 0.500 0.500
Hg3 0.500 0.000 0.000
Hg4 0.000 0.500 0.000

Values from the calculation:
Space group = No. 139
Magnetization = 0.00 Bohr magnetons per cell

***

The least stable of them is model i.